A relaxed Nb2Tl2Se5 crystal, computed with GGA-PBE.

Properties
- Energy: -46.728 eV for the cell shown
- Total magnetization: 0.00 μB/cell
- Volume: 33.264 Å³/atom

The structure in POSCAR format:
```
Nb2Tl2Se5
1.0
4.7868 0.0000 0.0000
-2.3934 7.7537 -0.1131
0.0000 -1.2650 8.0844
Nb Tl Se
2 2 5
Cartesian
0.0000 1.0874 7.2580
2.3934 5.4013 0.7134
0.0000 6.3098 5.5438
2.3934 0.1789 2.4275
0.0000 3.6874 7.8402
2.3934 2.8013 0.1312
0.0000 1.0017 4.8949
2.3934 5.4870 3.0764
0.0000 0.0000 0.0000
```